## HfReP2O (PBE-GGA)

Data for a geometry-optimized HfReP2O structure.

- DFT total energy (eV/atom) = -7.39
- calculated density (g/cm³) = 7.5
- magnetic moment (Bohr magnetons per cell) = 3.11
- offset from the most stable computed form (meV/atom) = 493

Cell lengths 5.0585, 5.0585, 3.8548 Å; angles 90.00, 90.00, 90.00 degrees
Last column: nearest neighbours and their distance in Å.
Fractional positions:
P  0.5000  0.0000  0.0000  2 Hf 2.53
P  0.0000  0.5000  0.0000  2 Hf 2.53
O  0.0000  0.0000  0.5000  2 Hf 1.93
Re  0.5000  0.5000  0.5000  8 P 3.18
Hf  0.0000  0.0000  0.0000  2 O 1.93